# 1
The following is a PBE-GGA calculation of a relaxed Rb4LiU3O12 crystal, from Alexandria.

Lattice parameters (Å, degrees): 7.5869 7.5869 7.5869 109.47 109.47 109.47
With the nearest neighbours (Å) after each atom.
Positions (direct):
Rb (0.0000, 0.0000, 0.5000)  12 O 3.10-3.11
Rb (0.0000, 0.5000, 0.0000)  12 O 3.10-3.11
Rb (0.5000, 0.0000, 0.0000)  12 O 3.10-3.11
Rb (0.5000, 0.5000, 0.5000)  12 O 3.10-3.11
Li (0.0000, 0.0000, 0.0000)  6 O 2.45
U (0.0000, 0.5000, 0.5000)  2 O 1.93
U (0.5000, 0.0000, 0.5000)  2 O 1.93
U (0.5000, 0.5000, 0.0000)  2 O 1.93
O (0.0000, 0.2802, 0.2802)  1 U 1.93
O (0.0000, 0.7198, 0.7198)  1 U 1.93
O (0.2500, 0.5000, 0.7500)  2 U 2.19
O (0.2500, 0.7500, 0.5000)  2 U 2.19
O (0.2802, 0.0000, 0.2802)  1 U 1.93
O (0.2802, 0.2802, 0.0000)  1 U 1.93
O (0.5000, 0.2500, 0.7500)  2 U 2.19
O (0.5000, 0.7500, 0.2500)  2 U 2.19
O (0.7198, 0.0000, 0.7198)  1 U 1.93
O (0.7198, 0.7198, 0.0000)  1 U 1.93
O (0.7500, 0.2500, 0.5000)  2 U 2.19
O (0.7500, 0.5000, 0.2500)  2 U 2.19

Properties
* E_form (uncorrected): -2.613 eV per atom

***

# 2
The following is a PBE-GGA calculation of a relaxed PrSmDy2 crystal, from Alexandria.

Lattice parameters (Å, degrees): 11.8958 11.8958 11.8958 17.50 17.50 17.50
With the nearest neighbours (Å) after each atom.
Positions (direct):
Pr (0.0000, 0.0000, 0.0000)  6 Dy 3.61-3.65, 6 Pr 3.62
Sm (0.1661, 0.1661, 0.1661)  6 Dy 3.56, 6 Sm 3.62
Dy (0.5816, 0.5816, 0.5816)  3 Sm 3.56, 6 Dy 3.62, 3 Pr 3.65
Dy (0.7506, 0.7506, 0.7506)  3 Sm 3.56, 3 Pr 3.61, 6 Dy 3.62

Properties
* E above lowest polymorph: 22 meV per atom
* ΔE_f: 0.019 eV/atom

***

# 3
The following is a PBE-GGA calculation of a relaxed Nd3Er2Th crystal, from Alexandria.

Lattice parameters (Å, degrees): 8.1286 8.1286 6.5329 90.00 90.00 108.40
With the nearest neighbours (Å) after each atom.
Positions (direct):
Nd (0.0913, 0.9087, 0.5000)  3 Th 3.30-3.55, 2 Nd 3.45
Nd (0.2493, 0.3970, 0.7615)  2 Nd 3.36-3.45, 4 Er 3.43-3.68
Nd (0.3970, 0.2493, 0.2615)  2 Nd 3.36-3.45, 4 Er 3.43-3.68
Nd (0.6030, 0.7507, 0.7615)  2 Nd 3.36-3.45, 4 Er 3.43-3.68
Nd (0.7507, 0.6030, 0.2615)  2 Nd 3.36-3.45, 4 Er 3.43-3.68
Nd (0.9087, 0.0913, 0.0000)  3 Th 3.30-3.55, 2 Nd 3.45
Er (0.1333, 0.5053, 0.2778)  2 Th 3.22-3.32, 3 Nd 3.43-3.49, 1 Er 3.44
Er (0.4947, 0.8667, 0.2778)  2 Th 3.22-3.32, 3 Nd 3.43-3.49, 1 Er 3.44
Er (0.5053, 0.1333, 0.7778)  2 Th 3.22-3.32, 3 Nd 3.43-3.49, 1 Er 3.44
Er (0.8667, 0.4947, 0.7778)  2 Th 3.22-3.32, 3 Nd 3.43-3.49, 1 Er 3.44
Th (0.1695, 0.8305, 0.9793)  4 Er 3.22-3.32, 3 Nd 3.30-3.55
Th (0.8305, 0.1695, 0.4793)  4 Er 3.22-3.32, 3 Nd 3.30-3.55

Properties
* E above lowest polymorph: 0 meV per atom
* ΔE_f: 0.227 eV/atom

***

# 4
The following is a PBE-GGA calculation of a relaxed BaZnIr2 crystal, from Alexandria.

Lattice parameters (Å, degrees): 5.7212 5.7212 3.0245 104.40 104.40 116.84
With the nearest neighbours (Å) after each atom.
Positions (direct):
Ba (0.0000, 0.0000, 0.0000)  4 Ir 2.88, 4 Zn 3.00-3.08, 2 Ba 3.02
Zn (0.5000, 0.5000, 0.0000)  4 Ir 2.88, 4 Ba 3.00-3.08, 2 Zn 3.02
Ir (0.0000, 0.5000, 0.5000)  2 Ba 2.88, 2 Zn 2.88, 6 Ir 3.00-3.08
Ir (0.5000, 0.0000, 0.5000)  2 Ba 2.88, 2 Zn 2.88, 6 Ir 3.00-3.08

Properties
* ΔE_f: 0.608 eV/atom

***

Calculated V, 336; 133; 410; 78 Å³/cell (same order as the records).
Calculated uncorrected energy, -7.5701; -4.6566; -4.9147; -4.6215 eV/atom (same order as the records).